VASP calculation (PBE) on a geometry-optimized GaAg4Te4 structure.

Results
space-group type: I-42m, No. 121
spin magnetization: 0.00 Bohr magnetons per cell
VASP energy: -3.0367 eV per atom
uncorrected formation energy: -0.037 eV/atom

Cell lengths 8.0217, 8.0217, 8.0217 Å; angles 132.82, 132.82, 68.94 degrees
With the nearest neighbours (Å) after each atom.
Positions (direct):
Ga  0.0000  0.0000  0.0000  4 Te 2.81
Ag  0.0000  0.5000  0.5000  4 Te 2.81
Ag  0.2473  0.2473  0.0000  4 Te 2.78-2.83
Ag  0.5000  0.0000  0.5000  4 Te 2.81
Ag  0.7527  0.7527  0.0000  4 Te 2.78-2.83
Te  0.1234  0.6250  0.0000  4 Ag 2.78-2.83, 1 Ga 2.81
Te  0.3750  0.3750  0.4984  4 Ag 2.78-2.83, 1 Ga 2.81
Te  0.6250  0.1234  0.0000  4 Ag 2.78-2.83, 1 Ga 2.81
Te  0.8766  0.8766  0.5016  4 Ag 2.78-2.83, 1 Ga 2.81